# 1
{
  "formula": "GaHg2S",
  "functional": "PBE-GGA",
  "state": "optimized geometry",
  "lattice_angstrom": [[-1.304, -4.004, -2.808], [-4.551, -0.168, -2.209], [-0.392, 0.453, -5.026]],
  "species": ["Hg", "Hg", "Ga", "S"],
  "fractional_positions": [[0.250, 0.250, 0.250], [0.750, 0.750, 0.750], [0.500, 0.500, 0.500], [0.000, 0.000, 0.000]],
  "n_ef_per_ev_cell": 4.5,
  "de_polymorph_ev_per_atom": 0.1314,
  "raw_formation_energy_mev_per_atom": 209
}

---

# 2
{
  "formula": "La12Y7Er",
  "functional": "PBE-GGA",
  "state": "optimized geometry",
  "lattice_angstrom": [[1.240, 0.102, 8.808], [1.118, -8.825, -0.003], [8.752, 1.057, -1.191]],
  "species": ["Y", "Y", "Y", "Y", "Y", "Y", "Y", "La", "La", "La", "La", "La", "La", "La", "La", "La", "La", "La", "La", "Er"],
  "fractional_positions": [[0.623, 0.939, 0.858], [0.142, 0.377, 0.061], [0.939, 0.858, 0.623], [0.858, 0.623, 0.939], [0.061, 0.142, 0.377], [0.377, 0.061, 0.142], [0.500, 0.500, 0.500], [0.281, 0.146, 0.734], [0.857, 0.517, 0.389], [0.266, 0.719, 0.854], [0.734, 0.281, 0.146], [0.719, 0.854, 0.266], [0.483, 0.611, 0.143], [0.389, 0.857, 0.517], [0.517, 0.389, 0.857], [0.611, 0.143, 0.483], [0.143, 0.483, 0.611], [0.146, 0.734, 0.281], [0.854, 0.266, 0.719], [0.000, 0.000, 0.000]],
  "delta_e_f_mev_per_atom": 183,
  "n_ef_per_ev_cell": 37.2,
  "de_polymorph_ev_per_atom": 0.0000
}

---

# 3
{
  "formula": "ReSeBr2",
  "functional": "PBE-GGA",
  "state": "optimized geometry",
  "lattice_angstrom": [[-1.144, -4.929, 7.925], [-7.747, -3.950, -3.575], [-3.137, -6.192, 1.274]],
  "species": ["Br", "Br", "Br", "Br", "Re", "Re", "Se", "Se"],
  "fractional_positions": [[0.983, 0.625, 0.250], [0.767, 0.125, 0.250], [0.375, 0.233, 0.750], [0.875, 0.017, 0.750], [0.750, 0.250, 0.500], [0.000, 0.000, 0.000], [0.500, 0.500, 0.000], [0.250, 0.750, 0.500]],
  "n_ef_per_ev_cell": 3.5,
  "de_polymorph_ev_per_atom": 0.2215,
  "raw_formation_energy_mev_per_atom": 264
}

---

# 4
{
  "formula": "DyHf2Zn9",
  "functional": "PBE-GGA",
  "state": "optimized geometry",
  "lattice_angstrom": [[5.050, 0.000, 1.503], [2.302, 4.496, 1.503], [0.103, 0.063, 8.891]],
  "species": ["Zn", "Zn", "Zn", "Zn", "Zn", "Zn", "Zn", "Zn", "Zn", "Hf", "Hf", "Dy"],
  "fractional_positions": [[0.922, 0.410, 0.257], [0.335, 0.335, 0.994], [0.078, 0.590, 0.743], [0.590, 0.078, 0.743], [0.590, 0.590, 0.743], [0.410, 0.922, 0.257], [0.500, 0.500, 0.500], [0.410, 0.410, 0.257], [0.665, 0.665, 0.006], [0.144, 0.144, 0.568], [0.856, 0.856, 0.432], [0.000, 0.000, 0.000]],
  "delta_e_f_mev_per_atom": -250,
  "n_ef_per_ev_cell": 8.1
}

---

# 5
{
  "formula": "LiYErZn",
  "functional": "PBE-GGA",
  "state": "optimized geometry",
  "lattice_angstrom": [[-0.142, 3.563, -3.630], [-3.135, -0.537, -3.971], [-4.075, 3.013, -0.450]],
  "species": ["Li", "Er", "Zn", "Y"],
  "fractional_positions": [[0.500, 0.500, 0.500], [0.250, 0.250, 0.250], [0.000, 0.000, 0.000], [0.750, 0.750, 0.750]],
  "delta_e_f_mev_per_atom": -126,
  "n_ef_per_ev_cell": 5.1,
  "de_polymorph_ev_per_atom": 0.0025
}

---

# 6
{
  "formula": "Li2Y2TeO6",
  "functional": "PBE-GGA",
  "state": "optimized geometry",
  "lattice_angstrom": [[-2.319, -2.158, -5.036], [4.989, -2.263, 2.321], [-3.374, -2.314, 3.318]],
  "species": ["O", "O", "O", "O", "O", "O", "Y", "Y", "Li", "Li", "Te"],
  "fractional_positions": [[0.964, 0.631, 0.279], [0.631, 0.964, 0.279], [0.257, 0.257, 0.271], [0.743, 0.743, 0.729], [0.036, 0.369, 0.721], [0.369, 0.036, 0.721], [0.664, 0.336, 0.500], [0.336, 0.664, 0.500], [0.140, 0.860, 0.000], [0.860, 0.140, 0.000], [0.000, 0.000, 0.500]],
  "n_ef_per_ev_cell": 0.0,
  "raw_formation_energy_mev_per_atom": -2273
}

---

# 7
{
  "formula": "BaNi3Mo",
  "functional": "PBE-GGA",
  "state": "optimized geometry",
  "lattice_angstrom": [[-3.501, -2.293, 2.185], [2.989, -1.312, 3.411], [-1.049, 3.913, 2.424]],
  "species": ["Ni", "Ni", "Ni", "Ba", "Mo"],
  "fractional_positions": [[0.000, 0.500, 0.000], [0.000, 0.000, 0.500], [0.500, 0.000, 0.000], [0.500, 0.500, 0.500], [0.000, 0.000, 0.000]],
  "delta_e_f_mev_per_atom": 649,
  "n_ef_per_ev_cell": 6.0,
  "de_polymorph_ev_per_atom": 0.0000
}

---

# 8
{
  "formula": "SnHPd3",
  "functional": "PBE-GGA",
  "state": "optimized geometry",
  "lattice_angstrom": [[-2.301, -1.053, -3.796], [2.202, -5.278, 0.130], [-4.140, -1.654, 2.968]],
  "species": ["H", "H", "Pd", "Pd", "Pd", "Pd", "Pd", "Pd", "Sn", "Sn"],
  "fractional_positions": [[0.250, 0.250, 0.540], [0.750, 0.750, 0.460], [0.750, 0.750, 0.135], [0.250, 0.250, 0.865], [0.750, 0.002, 0.662], [0.250, 0.998, 0.338], [0.750, 0.498, 0.662], [0.250, 0.502, 0.338], [0.250, 0.750, 0.833], [0.750, 0.250, 0.167]],
  "n_ef_per_ev_cell": 3.3,
  "de_polymorph_ev_per_atom": 0.0435
}

---

# 9
{
  "formula": "TbPuIn",
  "functional": "PBE-GGA",
  "state": "optimized geometry",
  "lattice_angstrom": [[-0.140, -1.763, 2.827], [5.156, -1.233, -0.514], [-1.437, 4.384, 2.662]],
  "species": ["Tb", "In", "Pu"],
  "fractional_positions": [[0.303, 0.667, 0.333], [0.006, 0.000, 0.000], [0.691, 0.333, 0.667]],
  "delta_e_f_mev_per_atom": -92,
  "n_ef_per_ev_cell": 6.9,
  "de_polymorph_ev_per_atom": 0.0170
}

---

# 10
{
  "formula": "CdBiPtAu",
  "functional": "PBE-GGA",
  "state": "optimized geometry",
  "lattice_angstrom": [[-2.518, -2.845, 3.123], [-2.415, -3.946, -1.668], [1.629, -4.515, 1.073]],
  "species": ["Pt", "Cd", "Au", "Bi"],
  "fractional_positions": [[0.750, 0.750, 0.750], [0.000, 0.000, 0.000], [0.250, 0.250, 0.250], [0.500, 0.500, 0.500]],
  "delta_e_f_mev_per_atom": -14,
  "n_ef_per_ev_cell": 3.7
}

---

# 11
{
  "formula": "Sr2MgCo",
  "functional": "PBE-GGA",
  "state": "optimized geometry",
  "lattice_angstrom": [[3.689, 0.000, 0.000], [0.000, 3.689, 0.000], [0.000, 0.000, 8.934]],
  "species": ["Sr", "Sr", "Mg", "Co"],
  "fractional_positions": [[0.000, 0.000, 0.935], [0.500, 0.500, 0.327], [0.500, 0.500, 0.671], [0.000, 0.000, 0.567]],
  "delta_e_f_mev_per_atom": 278,
  "n_ef_per_ev_cell": 5.7
}

---

# 12
{
  "formula": "Ba2TbTe3",
  "functional": "PBE-GGA",
  "state": "optimized geometry",
  "lattice_angstrom": [[-6.423, 5.101, -0.241], [0.031, -6.778, -4.625], [-1.260, -3.446, 7.481]],
  "species": ["Ba", "Ba", "Ba", "Ba", "Te", "Te", "Te", "Te", "Te", "Te", "Tb", "Tb"],
  "fractional_positions": [[0.833, 0.167, 0.500], [0.333, 0.667, 0.000], [0.492, 0.508, 0.500], [0.174, 0.826, 0.500], [0.409, 0.098, 0.226], [0.257, 0.235, 0.774], [0.902, 0.591, 0.774], [0.051, 0.384, 0.219], [0.765, 0.743, 0.226], [0.616, 0.949, 0.781], [0.002, 0.998, 0.000], [0.665, 0.335, 0.000]],
  "n_ef_per_ev_cell": 3.4,
  "raw_formation_energy_mev_per_atom": -1593
}

---

# 13
{
  "formula": "K6ZnTe4",
  "functional": "PBE-GGA",
  "state": "optimized geometry",
  "lattice_angstrom": [[8.402, 0.000, 0.000], [0.000, 9.519, -5.496], [0.000, 0.000, 10.992]],
  "species": ["K", "K", "K", "K", "K", "K", "K", "K", "K", "K", "K", "K", "Te", "Te", "Te", "Te", "Te", "Te", "Te", "Te", "Zn", "Zn"],
  "fractional_positions": [[0.950, 0.852, 0.148], [0.136, 0.476, 0.953], [0.450, 0.703, 0.852], [0.636, 0.524, 0.476], [0.450, 0.148, 0.852], [0.450, 0.148, 0.297], [0.950, 0.852, 0.703], [0.636, 0.524, 0.047], [0.950, 0.297, 0.148], [0.636, 0.953, 0.476], [0.136, 0.047, 0.524], [0.136, 0.476, 0.524], [0.353, 0.804, 0.609], [0.353, 0.391, 0.196], [0.424, 0.333, 0.667], [0.853, 0.196, 0.804], [0.353, 0.804, 0.196], [0.853, 0.609, 0.804], [0.853, 0.196, 0.391], [0.924, 0.667, 0.333], [0.253, 0.667, 0.333], [0.753, 0.333, 0.667]],
  "n_ef_per_ev_cell": 0.0,
  "raw_formation_energy_mev_per_atom": -967
}

---

# 14
{
  "formula": "VGaRuRh",
  "functional": "PBE-GGA",
  "state": "optimized geometry",
  "lattice_angstrom": [[-2.796, -0.428, 1.111], [0.554, -2.978, 0.248], [2.082, 0.851, 5.565]],
  "species": ["V", "Rh", "Ga", "Ru"],
  "fractional_positions": [[0.500, 0.500, 0.099], [0.000, 0.000, 0.360], [0.500, 0.500, 0.607], [0.000, 0.000, 0.862]],
  "delta_e_f_mev_per_atom": -454,
  "n_ef_per_ev_cell": 3.1
}

---

# 15
{
  "formula": "Zn4Pt15Rh",
  "functional": "PBE-GGA",
  "state": "optimized geometry",
  "lattice_angstrom": [[3.919, 0.000, 0.000], [0.000, 3.919, 0.000], [0.000, 0.000, 19.810]],
  "species": ["Zn", "Zn", "Zn", "Zn", "Pt", "Pt", "Pt", "Pt", "Pt", "Pt", "Pt", "Pt", "Pt", "Pt", "Pt", "Pt", "Pt", "Pt", "Pt", "Rh"],
  "fractional_positions": [[0.000, 0.000, 0.799], [0.000, 0.000, 0.201], [0.000, 0.000, 0.401], [0.000, 0.000, 0.599], [0.500, 0.500, 0.799], [0.500, 0.000, 0.300], [0.000, 0.500, 0.500], [0.500, 0.500, 0.201], [0.000, 0.500, 0.700], [0.500, 0.500, 0.600], [0.500, 0.000, 0.899], [0.500, 0.500, 0.000], [0.500, 0.000, 0.500], [0.500, 0.500, 0.400], [0.000, 0.500, 0.101], [0.500, 0.000, 0.101], [0.000, 0.500, 0.899], [0.500, 0.000, 0.700], [0.000, 0.500, 0.300], [0.000, 0.000, 0.000]],
  "delta_e_f_mev_per_atom": -273,
  "n_ef_per_ev_cell": 23.1
}

---

# 16
{
  "formula": "MnPdAu2N",
  "functional": "PBE-GGA",
  "state": "optimized geometry",
  "lattice_angstrom": [[-4.859, -0.103, 1.359], [-0.020, -4.439, -0.408], [1.362, -0.450, 4.838]],
  "species": ["N", "Au", "Au", "Mn", "Pd"],
  "fractional_positions": [[0.500, 0.500, 0.500], [0.000, 0.000, 0.500], [0.500, 0.000, 0.000], [0.000, 0.500, 0.000], [0.000, 0.000, 0.000]],
  "n_ef_per_ev_cell": 6.4,
  "raw_formation_energy_mev_per_atom": 2306
}

---

# 17
{
  "formula": "Nd2Zn2Ag",
  "functional": "PBE-GGA",
  "state": "optimized geometry",
  "lattice_angstrom": [[7.263, 0.000, 0.000], [0.000, 7.263, 0.000], [0.000, 0.000, 9.014]],
  "species": ["Nd", "Nd", "Nd", "Nd", "Nd", "Nd", "Nd", "Nd", "Zn", "Zn", "Zn", "Zn", "Zn", "Zn", "Zn", "Zn", "Ag", "Ag", "Ag", "Ag"],
  "fractional_positions": [[0.669, 0.831, 0.000], [0.831, 0.331, 0.000], [0.169, 0.669, 0.500], [0.331, 0.169, 0.500], [0.831, 0.331, 0.500], [0.169, 0.669, 0.000], [0.331, 0.169, 0.000], [0.669, 0.831, 0.500], [0.371, 0.871, 0.250], [0.371, 0.871, 0.750], [0.129, 0.371, 0.750], [0.129, 0.371, 0.250], [0.629, 0.129, 0.750], [0.871, 0.629, 0.750], [0.871, 0.629, 0.250], [0.629, 0.129, 0.250], [0.500, 0.500, 0.750], [0.500, 0.500, 0.250], [0.000, 0.000, 0.250], [0.000, 0.000, 0.750]],
  "delta_e_f_mev_per_atom": -262,
  "n_ef_per_ev_cell": 20.7,
  "de_polymorph_ev_per_atom": 0.0231
}

---

# 18
{
  "formula": "Li4Ca5Nd",
  "functional": "PBE-GGA",
  "state": "optimized geometry",
  "lattice_angstrom": [[-3.757, 1.024, 0.618], [-0.585, -3.350, 1.995], [5.531, 9.592, 17.730]],
  "species": ["Ca", "Ca", "Ca", "Ca", "Ca", "Li", "Li", "Li", "Li", "Nd"],
  "fractional_positions": [[0.500, 0.500, 0.500], [0.500, 0.500, 0.120], [0.500, 0.500, 0.689], [0.500, 0.500, 0.880], [0.500, 0.500, 0.311], [0.000, 0.000, 0.406], [0.000, 0.000, 0.786], [0.000, 0.000, 0.594], [0.000, 0.000, 0.214], [0.000, 0.000, 0.000]],
  "delta_e_f_mev_per_atom": 40,
  "n_ef_per_ev_cell": 10.7
}

---

# 19
{
  "formula": "YCoAg2",
  "functional": "PBE-GGA",
  "state": "optimized geometry",
  "lattice_angstrom": [[4.641, 0.000, 0.000], [0.000, 3.241, -0.022], [0.000, 1.425, 5.061]],
  "species": ["Ag", "Ag", "Co", "Y"],
  "fractional_positions": [[0.000, 0.402, 0.474], [0.000, 0.098, 0.026], [0.500, 0.250, 0.250], [0.500, 0.750, 0.750]],
  "delta_e_f_mev_per_atom": 128,
  "n_ef_per_ev_cell": 3.2
}

---

# 20
{
  "formula": "Y2TcBiF",
  "functional": "PBE-GGA",
  "state": "optimized geometry",
  "lattice_angstrom": [[-3.676, 0.436, -3.277], [0.790, -3.962, -1.413], [-3.177, -1.818, 3.322]],
  "species": ["F", "Y", "Y", "Tc", "Bi"],
  "fractional_positions": [[0.000, 0.000, 0.000], [0.500, 0.000, 0.000], [0.000, 0.000, 0.500], [0.000, 0.500, 0.000], [0.500, 0.500, 0.500]],
  "n_ef_per_ev_cell": 3.3,
  "raw_formation_energy_mev_per_atom": -630
}